Material: Tl4CuPd2
Method: DFT, PBE
State: optimized geometry

Calculated volume = 182.8 Å³ per cell
E_tot = -3.262 eV/atom
Calculated formation energy = 0.159 eV per atom

abc: 5.2189 5.2189 7.6579
angles: 70.08 70.08 90.00
Closest atoms and distances in Å follow each position.
Positions (direct):
Tl: 0.8008 0.8008 0.3985  1 Cu 2.67, 1 Pd 2.68
Tl: 0.1992 0.1992 0.6015  1 Cu 2.67, 1 Pd 2.68
Tl: 0.0000 0.5000 0.0000  2 Cu 2.61
Tl: 0.5000 0.0000 0.0000  2 Cu 2.61
Cu: 0.0000 0.0000 0.0000  6 Tl 2.61-2.67
Pd: 0.6008 0.6008 0.7984  5 Tl 2.68-2.94, 1 Pd 2.71
Pd: 0.3992 0.3992 0.2016  5 Tl 2.68-2.94, 1 Pd 2.71

Material: TlCu2Pd4
Method: DFT, PBE
State: optimized geometry

Calculated volume = 118.4 Å³ per cell
E_tot = -4.454 eV/atom
Calculated formation energy = 0.021 eV per atom

abc: 5.3680 5.3680 5.3680
angles: 114.37 107.08 107.08
Closest atoms and distances in Å follow each position.
Positions (direct):
Tl: 0.0000 0.0000 0.0000  8 Pd 2.68
Pd: 0.5000 0.0000 0.0000  4 Cu 2.68, 2 Tl 2.68, 2 Pd 2.91
Pd: 0.5000 0.5000 0.5000  4 Cu 2.68, 2 Tl 2.68, 2 Pd 2.91
Pd: 0.0000 0.0000 0.5000  4 Cu 2.68, 2 Tl 2.68, 2 Pd 2.91
Pd: 0.0000 0.5000 0.0000  2 Tl 2.68, 4 Cu 2.68, 2 Pd 2.91
Cu: 0.5000 0.5000 0.0000  8 Pd 2.68, 2 Cu 2.91
Cu: 0.5000 0.0000 0.5000  8 Pd 2.68, 2 Cu 2.91

Material: Tl2Cu2Pd
Method: DFT, PBE
State: optimized geometry

Calculated volume = 185.8 Å³ per cell
E_tot = -3.456 eV/atom
Calculated formation energy = 0.168 eV per atom

abc: 6.8474 6.8474 3.9629
angles: 90.00 90.00 90.00
Closest atoms and distances in Å follow each position.
Positions (direct):
Tl: 0.1776 0.6776 0.5000  6 Cu 2.74-2.90
Tl: 0.6776 0.8224 0.5000  6 Cu 2.74-2.90
Tl: 0.8224 0.3224 0.5000  6 Cu 2.74-2.90
Tl: 0.3224 0.1776 0.5000  6 Cu 2.74-2.90
Cu: 0.3724 0.8724 0.0000  1 Cu 2.47, 2 Pd 2.70, 2 Tl 2.74
Cu: 0.8724 0.6276 0.0000  1 Cu 2.47, 2 Pd 2.70, 2 Tl 2.74
Cu: 0.6276 0.1276 0.0000  1 Cu 2.47, 2 Pd 2.70, 2 Tl 2.74
Cu: 0.1276 0.3724 0.0000  1 Cu 2.47, 2 Pd 2.70, 2 Tl 2.74
Pd: 0.0000 0.0000 0.0000  4 Cu 2.70
Pd: 0.5000 0.5000 0.0000  4 Cu 2.70

Material: Tl2CuPd8
Method: DFT, PBE
State: optimized geometry

Calculated volume = 181.7 Å³ per cell
E_tot = -4.692 eV/atom
Calculated formation energy = -0.113 eV per atom

abc: 4.1675 6.3561 7.4627
angles: 106.13 106.21 90.00
Closest atoms and distances in Å follow each position.
Positions (direct):
Tl: 0.7804 0.3400 0.5607  10 Pd 2.75-2.98
Tl: 0.2196 0.6600 0.4393  10 Pd 2.75-2.98
Cu: 0.5000 0.0000 0.0000  12 Pd 2.66-2.87
Pd: 0.4100 0.5571 0.8201  1 Cu 2.74, 8 Pd 2.77-3.01, 3 Tl 2.87-2.98
Pd: 0.6693 0.9072 0.3386  1 Cu 2.66, 3 Tl 2.75-2.83, 6 Pd 2.83-2.98
Pd: 0.8627 0.8211 0.7254  7 Pd 2.72-2.98, 2 Cu 2.87, 3 Tl 2.89-2.94
Pd: 0.9634 0.2698 0.9267  9 Pd 2.72-3.01, 1 Tl 2.78, 2 Cu 2.84
Pd: 0.1373 0.1789 0.2746  7 Pd 2.72-2.98, 2 Cu 2.87, 3 Tl 2.89-2.94
Pd: 0.3307 0.0928 0.6614  1 Cu 2.66, 3 Tl 2.75-2.83, 6 Pd 2.83-2.98
Pd: 0.5900 0.4429 0.1799  1 Cu 2.74, 8 Pd 2.77-3.01, 3 Tl 2.87-2.98
Pd: 0.0366 0.7302 0.0733  9 Pd 2.72-3.01, 1 Tl 2.78, 2 Cu 2.84

Material: TlCu2Pd4
Method: DFT, PBE
State: optimized geometry

Calculated volume = 231.7 Å³ per cell
E_tot = -4.509 eV/atom
Calculated formation energy = -0.033 eV per atom

abc: 6.7153 6.7156 6.7122
angles: 107.02 107.28 114.23
Closest atoms and distances in Å follow each position.
Positions (direct):
Tl: 0.2499 0.7499 0.5000  8 Pd 2.76-2.78
Tl: 0.0001 0.0001 0.0001  8 Pd 2.76-2.78
Cu: 0.5174 0.3747 0.6424  2 Cu 2.44, 6 Pd 2.63-2.70
Cu: 0.7325 0.8751 0.3575  2 Cu 2.44, 6 Pd 2.63-2.70
Cu: 0.6250 0.4804 0.3553  2 Cu 2.44, 6 Pd 2.63-2.70
Cu: 0.1250 0.2698 0.6448  2 Cu 2.44, 6 Pd 2.63-2.69
Pd: 0.8530 0.2570 0.2585  3 Cu 2.63-2.70, 2 Tl 2.76-2.78, 5 Pd 2.78-2.93
Pd: 0.2516 0.4930 0.0961  3 Cu 2.63-2.70, 2 Tl 2.76-2.78, 5 Pd 2.78-2.93
Pd: 0.9985 0.5945 0.7415  3 Cu 2.63-2.70, 2 Tl 2.76-2.78, 5 Pd 2.78-2.93
Pd: 0.7426 0.1480 0.7414  3 Cu 2.63-2.69, 2 Tl 2.76-2.78, 5 Pd 2.78-2.92
Pd: 0.4067 0.0012 0.2586  3 Cu 2.63-2.70, 2 Tl 2.76-2.78, 5 Pd 2.78-2.92
Pd: 0.3969 0.1555 0.9039  3 Cu 2.63-2.70, 2 Tl 2.76-2.78, 5 Pd 2.78-2.93
Pd: 0.5074 0.7486 0.9053  3 Cu 2.63-2.69, 2 Tl 2.76-2.78, 5 Pd 2.78-2.92
Pd: 0.8432 0.6020 0.0945  3 Cu 2.63-2.69, 2 Tl 2.76-2.78, 5 Pd 2.78-2.92

Material: Tl2Cu3Pd8
Method: DFT, PBE
State: optimized geometry

Calculated volume = 218.4 Å³ per cell
E_tot = -4.483 eV/atom
Calculated formation energy = 0.022 eV per atom

abc: 4.6868 6.9435 7.5583
angles: 117.34 88.87 90.00
Closest atoms and distances in Å follow each position.
Positions (direct):
Tl: 0.2333 0.3381 0.6762  7 Pd 2.73-2.96
Tl: 0.7667 0.6619 0.3238  7 Pd 2.73-2.96
Cu: 0.5000 0.0000 0.0000  4 Cu 2.64, 6 Pd 2.72-2.79
Cu: 0.0000 0.1737 0.0000  3 Cu 2.41-2.64, 2 Pd 2.63
Cu: 0.0000 0.8263 0.0000  3 Cu 2.41-2.64, 2 Pd 2.63
Pd: 0.2521 0.5444 0.0888  4 Pd 2.59-2.67, 2 Cu 2.63, 2 Tl 2.74-2.77
Pd: 0.7479 0.4556 0.9112  4 Pd 2.59-2.67, 2 Cu 2.63, 2 Tl 2.74-2.77
Pd: 0.8050 0.1697 0.3395  3 Cu 2.72, 6 Pd 2.73-3.03
Pd: 0.1950 0.8303 0.6605  3 Cu 2.72, 6 Pd 2.73-3.03
Pd: 0.6908 0.6264 0.6661  5 Pd 2.64-2.95, 2 Cu 2.71-2.79, 1 Tl 2.73
Pd: 0.6908 0.0396 0.6661  5 Pd 2.64-2.95, 2 Cu 2.71-2.79, 1 Tl 2.73
Pd: 0.3092 0.9604 0.3339  5 Pd 2.64-2.95, 2 Cu 2.71-2.79, 1 Tl 2.73
Pd: 0.3092 0.3736 0.3339  5 Pd 2.64-2.95, 2 Cu 2.71-2.79, 1 Tl 2.73